First-principles (PBE) data for a relaxed structure of BeTl2Ag, as listed in Alexandria via LeMat-Bulk.

Computed properties:
ΔH_f (0 K): 0.37 eV/atom
Crystal system: monoclinic

The structure in extended XYZ format:
```
4
Lattice="4.739 -1.590 0.000 4.739 1.590 0.000 -2.481 0.000 5.894" Properties=species:S:1:pos:R:3 pbc="T T T"
Be 0.000 0.000 0.000
Tl 0.103 0.000 5.689
Tl 2.639 0.000 3.385
Ag 5.163 0.000 1.803
```

=====

First-principles (PBE) data for a relaxed structure of KAcPuO4, as listed in Alexandria via LeMat-Bulk.

Computed properties:
Crystal system: orthorhombic
ΔE_f (raw): -1874 kJ/mol of formula units

The structure in extended XYZ format:
```
14
Lattice="-3.556 3.856 5.250 3.556 -3.856 5.250 3.556 3.856 -5.250" Properties=species:S:1:pos:R:3 pbc="T T T"
K 0.000 1.928 1.264
K 3.556 1.928 3.986
Ac 3.556 0.000 0.000
Ac 0.000 0.000 5.250
Pu 1.778 1.928 -2.625
Pu 1.778 -1.928 2.625
O 3.556 -0.488 2.500
O 3.556 3.368 -2.500
O 2.000 1.928 -0.414
O 5.111 1.928 -0.414
O -1.555 1.928 5.664
O 1.555 1.928 5.664
O 0.000 0.488 7.750
O 0.000 4.344 2.750
```

=====

First-principles (PBE) data for a relaxed structure of K2MgHg, as listed in Alexandria via LeMat-Bulk.

Computed properties:
Distance to the lowest polymorph of the same formula: 94.2 meV per atom
ΔH_f (0 K): 0.03 eV/atom
Crystal system: orthorhombic

The structure in extended XYZ format:
```
4
Lattice="3.869 -4.750 0.000 3.869 4.750 0.000 0.000 0.000 4.358" Properties=species:S:1:pos:R:3 pbc="T T T"
K 1.934 2.375 0.000
K 1.934 -2.375 0.000
Mg 0.000 0.000 2.179
Hg 3.869 0.000 2.179
```